Here is a relaxed Er5HgPd2 crystal from Alexandria. Energies are from GGA-PBE.

Unit cell a=7.782 b=7.782 c=8.591 alpha=116.93 beta=116.93 gamma=90.00
Element x y z (fractional)
Er  0.517  0.700  0.717
Er  0.800  0.983  0.283
Er  0.000  0.000  0.000
Er  0.500  0.500  0.000
Er  0.200  0.017  0.717
Er  0.700  0.200  0.717
Er  0.017  0.517  0.717
Er  0.300  0.800  0.283
Er  0.983  0.483  0.283
Er  0.483  0.300  0.283
Hg  0.750  0.750  0.500
Hg  0.250  0.250  0.500
Pd  0.135  0.365  0.000
Pd  0.635  0.135  0.000
Pd  0.365  0.865  0.000
Pd  0.865  0.635  0.000

DOS at the Fermi energy = 19.05 states/eV/cell
space-group type = I4/mcm
ΔE_f = -0.61 eV/atom

***

Here is a relaxed TiNbSbOs2 crystal from Alexandria. Energies are from GGA-PBE.

Unit cell a=4.754 b=5.099 c=4.754 alpha=90.00 beta=90.00 gamma=90.00
Element x y z (fractional)
Sb  0.000  0.500  0.000
Nb  0.000  0.000  0.000
Os  0.000  0.000  0.500
Os  0.500  0.000  0.000
Ti  0.500  0.500  0.500

formation energy from raw total energies = 8.13 eV per formula unit
DOS at the Fermi energy = 4.85 states/eV/cell
space-group type = P4/mmm

***

Here is a relaxed SrPPdO4 crystal from Alexandria. Energies are from GGA-PBE.

Unit cell a=5.970 b=5.970 c=5.970 alpha=60.00 beta=60.00 gamma=60.00
Last column: magnetic moment on the atom in μB.
Element x y z (fractional)
Sr  0.750  0.750  0.750  0.00
P  0.250  0.250  0.250  0.01
Pd  0.500  0.500  0.500  0.71
O  0.355  0.355  0.935  0.06
O  0.355  0.355  0.355  0.06
O  0.355  0.935  0.355  0.06
O  0.935  0.355  0.355  0.06

formation energy from raw total energies = -10.28 eV per formula unit
DOS at the Fermi energy = 5.39 states/eV/cell
space-group type = F-43m